1.
Pr2HS3: optimized geometry, PBE.

The structure in POSCAR format:
```
Pr2HS3
1.0
4.0464 0.0000 0.0000
0.0000 10.7397 0.0000
0.0000 0.0000 11.2010
Pr S H
8 12 4
Direct
0.7500 0.1832 0.0250
0.2500 0.6832 0.4750
0.7500 0.9904 0.6973
0.2500 0.0096 0.3027
0.7500 0.3168 0.5250
0.2500 0.8168 0.9750
0.7500 0.5096 0.1973
0.2500 0.4904 0.8027
0.7500 0.8803 0.4538
0.7500 0.2097 0.2786
0.2500 0.7903 0.7214
0.7500 0.6197 0.9538
0.2500 0.1197 0.5462
0.2500 0.7097 0.2214
0.7500 0.9357 0.1271
0.7500 0.5643 0.6271
0.7500 0.2903 0.7786
0.2500 0.0643 0.8729
0.2500 0.4357 0.3729
0.2500 0.3803 0.0462
0.7500 0.6404 0.3676
0.2500 0.1404 0.1324
0.2500 0.3596 0.6324
0.7500 0.8596 0.8676
```

ρ = 5.17 g cm⁻³

---

2.
Pr4SbHS2: optimized geometry, PBE.

The structure in POSCAR format:
```
Pr4SbHS2
1.0
-3.6434 -0.9864 -1.8354
4.9227 0.4725 -5.2268
2.9015 -13.5264 1.5098
Pr Sb H S
8 2 2 4
Direct
0.2668 0.5337 0.1163
0.2668 0.5337 0.3837
0.0000 0.0000 0.5000
0.7332 0.4663 0.6163
0.5640 0.1279 0.2500
0.0000 0.0000 0.0000
0.4360 0.8721 0.7500
0.7332 0.4663 0.8837
0.1075 0.2150 0.7500
0.8925 0.7850 0.2500
0.1591 0.3182 0.2500
0.8409 0.6818 0.7500
0.6326 0.2651 0.4388
0.3674 0.7349 0.9388
0.3674 0.7349 0.5612
0.6326 0.2651 0.0612
```

ρ = 6.20 g cm⁻³

---

3.
Pr2H2SeS: optimized geometry, PBE.

The structure in POSCAR format:
```
Pr2H2SeS
1.0
-0.4735 2.3359 3.2298
-3.0265 -2.3136 -1.2648
2.5342 -5.8187 4.5798
Se Pr S H
1 2 1 2
Direct
0.0000 0.0000 0.0000
0.3333 0.6667 0.2591
0.6667 0.3333 0.7409
0.0000 0.0000 0.5000
0.3333 0.6667 0.7430
0.6667 0.3333 0.2570
```

ρ = 6.00 g cm⁻³

---

4.
Pr8HSe4S3: optimized geometry, PBE.

The structure in POSCAR format:
```
Pr8HSe4S3
1.0
8.2647 0.0000 0.0000
0.0000 8.3732 0.0703
-4.1324 -4.1277 5.8471
Pr S H Se
8 3 1 4
Direct
0.2447 0.7329 0.4893
0.7553 0.2671 0.5107
0.2568 0.2704 0.5136
0.2447 0.7329 0.9883
0.2564 0.2671 0.0117
0.7432 0.7296 0.4864
0.7436 0.7329 0.9883
0.7553 0.2671 0.0117
0.5000 0.5000 0.5000
0.0000 0.5000 0.5000
0.5000 0.5000 0.0000
0.0000 0.5000 0.0000
0.5000 0.0000 0.0000
0.0000 0.0000 0.5000
0.5000 0.0000 0.5000
0.0000 0.0000 0.0000
```

ρ = 6.28 g cm⁻³

---

Magnetic moment (computed, μB/cell): 0.84, 0.00, 0.00, 0.00
Total energy (computed, eV per atom): -5.69, -5.81, -5.46, -5.95